Record 1
# CePuMg4 PBE-GGA relaxed
# * raw total energy: -104.84 eV per cell
# * formation energy from the elements: 0.07 eV/atom
data_CePuMg4
_space_group_name_H-M_alt 'F -4 3 m'
_space_group_IT_number 216
_space_group_name_Hall 'F -4 2 3'
_cell_length_a 8.536
_cell_length_b 8.536
_cell_length_c 8.536
_cell_angle_alpha 90.00
_cell_angle_beta 90.00
_cell_angle_gamma 90.00
loop_
_atom_site_label
_atom_site_type_symbol
_atom_site_fract_x
_atom_site_fract_y
_atom_site_fract_z
Ce1 Ce 0.000 0.000 0.000
Pu1 Pu 0.250 0.250 0.750
Mg1 Mg 0.125 0.125 0.375


Record 2
# Tb2Ga4CoCu3 PBE-GGA relaxed
# * raw total energy: -44.96 eV per cell
# * formation energy from the elements: -0.42 eV/atom
data_Tb2Ga4CoCu3
_space_group_name_H-M_alt 'P -4 m 2'
_space_group_IT_number 115
_cell_length_a 4.092
_cell_length_b 4.092
_cell_length_c 10.204
_cell_angle_alpha 90.00
_cell_angle_beta 90.00
_cell_angle_gamma 90.00
loop_
_space_group_symop_operation_xyz
'x,y,z'
'y,-x,-z'
'-x,-y,z'
'-y,x,-z'
'-x,y,z'
'-y,-x,-z'
'x,-y,z'
'y,x,-z'
loop_
_atom_site_label
_atom_site_type_symbol
_atom_site_fract_x
_atom_site_fract_y
_atom_site_fract_z
Tb1 Tb 0.000 0.500 0.244
Ga1 Ga 0.000 0.000 0.500
Ga2 Ga 0.000 0.500 0.874
Ga3 Ga 0.500 0.500 0.500
Co1 Co 0.500 0.500 0.000
Cu1 Cu 0.000 0.000 0.000
Cu2 Cu 0.000 0.500 0.638


Record 3
# KHg2BiTe PBE-GGA relaxed
# * raw total energy: -9.64 eV per cell
# * E_form (uncorrected): -0.1829 eV per atom
data_KHg2BiTe
_space_group_name_H-M_alt 'P 4/m m m'
_space_group_IT_number 123
_space_group_name_Hall '-P 4 2'
_cell_length_a 5.916
_cell_length_b 5.916
_cell_length_c 6.325
_cell_angle_alpha 90.00
_cell_angle_beta 90.00
_cell_angle_gamma 90.00
loop_
_atom_site_label
_atom_site_type_symbol
_atom_site_fract_x
_atom_site_fract_y
_atom_site_fract_z
K1 K 0.000 0.000 0.000
Hg1 Hg 0.000 0.500 0.500
Bi1 Bi 0.500 0.500 0.500
Te1 Te 0.500 0.500 0.000


Record 4
# CePmP2Pt2 PBE-GGA relaxed
# * raw total energy: -41.60 eV per cell
# * formation energy from the elements: -1.34 eV/atom
data_CePmP2Pt2
_space_group_name_H-M_alt 'P -3 m 1'
_space_group_IT_number 164
_space_group_name_Hall '-P 3 2"'
_cell_length_a 4.1615
_cell_length_b 4.1615
_cell_length_c 8.0573
_cell_angle_alpha 90.00
_cell_angle_beta 90.00
_cell_angle_gamma 120.00
loop_
_atom_site_label
_atom_site_type_symbol
_atom_site_fract_x
_atom_site_fract_y
_atom_site_fract_z
Ce1 Ce 0.0000 0.0000 0.0000
Pm1 Pm 0.0000 0.0000 0.5000
P1 P 0.3333 0.6667 0.2612
Pt1 Pt 0.3333 0.6667 0.7638


Record 5
# LiTb2YCd4 PBE-GGA relaxed
# * raw total energy: -70.91 eV per cell
# * formation energy from the elements: -0.29 eV/atom
data_LiTb2YCd4
_space_group_name_H-M_alt 'R -3 m'
_space_group_IT_number 166
_space_group_name_Hall '-R 3 2"'
_cell_length_a 5.2138
_cell_length_b 5.2138
_cell_length_c 25.5563
_cell_angle_alpha 90.00
_cell_angle_beta 90.00
_cell_angle_gamma 120.00
loop_
_atom_site_label
_atom_site_type_symbol
_atom_site_fract_x
_atom_site_fract_y
_atom_site_fract_z
Li1 Li 0.0000 0.0000 0.0000
Tb1 Tb 0.0000 0.0000 0.2514
Y1 Y 0.0000 0.0000 0.5000
Cd1 Cd 0.0000 0.0000 0.1211
Cd2 Cd 0.0000 0.0000 0.3735


Record 6
# Y2ReRu PBE-GGA relaxed
# * energy relative to the lowest polymorph listed for this composition: 92.8 meV/atom
# * raw total energy: -68.89 eV per cell
# * formation energy from the elements: 0.05 eV/atom
data_Y2ReRu
_space_group_name_H-M_alt 'I m m 2'
_space_group_IT_number 44
_cell_length_a 3.345
_cell_length_b 4.803
_cell_length_c 10.226
_cell_angle_alpha 90.00
_cell_angle_beta 90.00
_cell_angle_gamma 90.00
loop_
_space_group_symop_operation_xyz
'x,y,z'
'-x,-y,z'
'-x,y,z'
'x,-y,z'
'x+1/2,y+1/2,z+1/2'
'-x+1/2,-y+1/2,z+1/2'
'-x+1/2,y+1/2,z+1/2'
'x+1/2,-y+1/2,z+1/2'
loop_
_atom_site_label
_atom_site_type_symbol
_atom_site_fract_x
_atom_site_fract_y
_atom_site_fract_z
Y1 Y 0.000 0.000 0.000
Y2 Y 0.000 0.500 0.222
Re1 Re 0.000 0.500 0.761
Ru1 Ru 0.000 0.000 0.461


Record 7
# La4PmIn PBE-GGA relaxed
# * energy relative to the lowest polymorph listed for this composition: 74.7 meV/atom
# * raw total energy: -55.50 eV per cell
# * formation energy from the elements: -0.09 eV/atom
data_La4PmIn
_space_group_name_H-M_alt 'P 1 2/c 1'
_space_group_IT_number 13
_cell_length_a 5.692
_cell_length_b 9.892
_cell_length_c 8.981
_cell_angle_alpha 90.00
_cell_angle_beta 129.18
_cell_angle_gamma 90.00
loop_
_space_group_symop_operation_xyz
'x,y,z'
'-x,-y,-z'
'-x,y,-z+1/2'
'x,-y,z+1/2'
loop_
_atom_site_label
_atom_site_type_symbol
_atom_site_fract_x
_atom_site_fract_y
_atom_site_fract_z
La1 La 0.214 0.079 0.487
La2 La 0.258 0.421 0.487
Pm1 Pm 0.000 0.250 0.750
In1 In 0.500 0.250 0.250


Record 8
# VSiTcOs PBE-GGA relaxed
# * raw total energy: -152.25 eV per cell
# * E_form (uncorrected): -0.4810 eV per atom
data_VSiTcOs
_space_group_name_H-M_alt 'F -4 3 m'
_space_group_IT_number 216
_space_group_name_Hall 'F -4 2 3'
_cell_length_a 5.977
_cell_length_b 5.977
_cell_length_c 5.977
_cell_angle_alpha 90.00
_cell_angle_beta 90.00
_cell_angle_gamma 90.00
loop_
_atom_site_label
_atom_site_type_symbol
_atom_site_fract_x
_atom_site_fract_y
_atom_site_fract_z
V1 V 0.000 0.000 0.000
Si1 Si 0.000 0.000 0.500
Tc1 Tc 0.250 0.250 0.250
Os1 Os 0.250 0.250 0.750


Record 9
# Ca4PtPb PBE-GGA relaxed
# * energy relative to the lowest polymorph listed for this composition: 855.8 meV/atom
# * raw total energy: -65.12 eV per cell
# * formation energy from the elements: 0.25 eV/atom
data_Ca4PtPb
_space_group_name_H-M_alt 'F -4 3 m'
_space_group_IT_number 216
_space_group_name_Hall 'F -4 2 3'
_cell_length_a 8.880
_cell_length_b 8.880
_cell_length_c 8.880
_cell_angle_alpha 90.00
_cell_angle_beta 90.00
_cell_angle_gamma 90.00
loop_
_atom_site_label
_atom_site_type_symbol
_atom_site_fract_x
_atom_site_fract_y
_atom_site_fract_z
Ca1 Ca 0.124 0.124 0.376
Pt1 Pt 0.250 0.250 0.750
Pb1 Pb 0.000 0.000 0.000


Record 10
# HgPdBr PBE-GGA relaxed
# * energy relative to the lowest polymorph listed for this composition: 10.8 meV/atom
# * raw total energy: -30.62 eV per cell
# * E_form (uncorrected): -0.1628 eV per atom
data_HgPdBr
_space_group_name_H-M_alt 'C m m e'
_space_group_IT_number 67
_space_group_name_Hall '-C 2a 2'
_cell_length_a 7.774
_cell_length_b 9.914
_cell_length_c 3.985
_cell_angle_alpha 90.00
_cell_angle_beta 90.00
_cell_angle_gamma 90.00
loop_
_atom_site_label
_atom_site_type_symbol
_atom_site_fract_x
_atom_site_fract_y
_atom_site_fract_z
Hg1 Hg 0.250 0.000 0.000
Pd1 Pd 0.000 0.000 0.500
Br1 Br 0.000 0.250 0.365


Record 11
# YTi4S8 PBE-GGA relaxed
# * raw total energy: -272.13 eV per cell
# * E_form (uncorrected): -1.5112 eV per atom
data_YTi4S8
_space_group_name_H-M_alt 'R -3 m'
_space_group_IT_number 166
_space_group_name_Hall '-R 3 2"'
_cell_length_a 6.8944
_cell_length_b 6.8944
_cell_length_c 19.3532
_cell_angle_alpha 90.00
_cell_angle_beta 90.00
_cell_angle_gamma 120.00
loop_
_atom_site_label
_atom_site_type_symbol
_atom_site_fract_x
_atom_site_fract_y
_atom_site_fract_z
Y1 Y 0.0000 0.0000 0.0000
Ti1 Ti 0.0000 0.0000 0.5000
Ti2 Ti 0.0000 0.5000 0.5000
S1 S 0.0000 0.0000 0.2388
S2 S 0.0068 0.5034 0.2420


Record 12
# Nd6Cd5Sb PBE-GGA relaxed
# * raw total energy: -85.13 eV per cell
# * E_form (uncorrected): -0.4384 eV per atom
data_Nd6Cd5Sb
_space_group_name_H-M_alt 'I m m m'
_space_group_IT_number 71
_space_group_name_Hall '-I 2 2'
_cell_length_a 5.473
_cell_length_b 7.609
_cell_length_c 16.523
_cell_angle_alpha 90.00
_cell_angle_beta 90.00
_cell_angle_gamma 90.00
loop_
_atom_site_label
_atom_site_type_symbol
_atom_site_fract_x
_atom_site_fract_y
_atom_site_fract_z
Nd1 Nd 0.000 0.245 0.000
Nd2 Nd 0.000 0.253 0.336
Cd1 Cd 0.000 0.000 0.178
Cd2 Cd 0.000 0.000 0.500
Cd3 Cd 0.000 0.500 0.167
Sb1 Sb 0.000 0.500 0.500